1.
Compound: HfNpU
Source: OQMD via LeMat-Bulk
Functional: PBE
Structure: relaxed

abc: 4.540 4.540 4.540
angles: 60.00 60.00 60.00
Element x y z (fractional)
Hf 0.000 0.000 0.000
Np 0.250 0.250 0.250
U 0.500 0.500 0.500

Calculated values
DFT formation energy in eV/atom: 0.9511
Total magnetic moment in μB/cell: 4.8
Space group: F-43m (216)


2.
Compound: FeCu4P2
Source: OQMD via LeMat-Bulk
Functional: PBE
Structure: relaxed

abc: 6.764 6.764 6.764
angles: 142.43 142.43 54.18
Element x y z (fractional)
Fe 0.000 0.000 0.000
Cu 0.000 0.500 0.500
Cu 0.201 0.201 0.000
Cu 0.500 0.000 0.500
Cu 0.799 0.799 0.000
P 0.384 0.384 0.000
P 0.616 0.616 0.000

Calculated values
Total magnetic moment in μB/cell: 2.9
Space group: I4/mmm (139)


3.
Compound: BePd
Source: OQMD via LeMat-Bulk
Functional: PBE
Structure: relaxed

abc: 2.823 2.823 2.823
angles: 90.00 90.00 90.00
Element x y z (fractional)
Be 0.000 0.000 0.000
Pd 0.500 0.500 0.500

Calculated values
Space group: Pm-3m (221)


4.
Compound: Sr2MgOsSe6
Source: OQMD via LeMat-Bulk
Functional: PBE
Structure: relaxed

abc: 7.123 7.123 7.123
angles: 60.00 60.00 60.00
Element x y z (fractional)
Sr 0.250 0.250 0.250
Sr 0.750 0.750 0.750
Mg 0.000 0.000 0.000
Os 0.500 0.500 0.500
Se 0.254 0.254 0.746
Se 0.254 0.746 0.254
Se 0.254 0.746 0.746
Se 0.746 0.254 0.254
Se 0.746 0.254 0.746
Se 0.746 0.746 0.254

Calculated values
Total magnetic moment in μB/cell: 0.0
Space group: Fm-3m (225)


5.
Compound: DyCuAg
Source: OQMD via LeMat-Bulk
Functional: PBE
Structure: relaxed

abc: 4.535 4.535 4.535
angles: 60.00 60.00 60.00
Element x y z (fractional)
Dy 0.000 0.000 0.000
Cu 0.750 0.750 0.750
Ag 0.500 0.500 0.500

Calculated values
DFT formation energy in eV/atom: -0.1043
Total magnetic moment in μB/cell: 0.0
Space group: F-43m (216)


6.
Compound: DyY2Mg3Ir2Pt
Source: OQMD via LeMat-Bulk
Functional: PBE
Structure: relaxed

abc: 4.044 7.324 7.324
angles: 119.98 90.00 90.00
Element x y z (fractional)
Dy 0.000 0.000 0.000
Y 0.000 0.413 0.827
Y 0.000 0.827 0.413
Mg 0.500 0.166 0.413
Mg 0.500 0.413 0.166
Mg 0.500 0.661 0.661
Ir 0.500 0.080 0.747
Ir 0.500 0.747 0.080
Pt 0.000 0.413 0.413

Calculated values
Total magnetic moment in μB/cell: 0.0
Space group: Amm2 (38)


| no. | E_tot (eV/f.u.) |
| --- | --- |
| 1 | -31.2 |
| 2 | -28.7 |
| 3 | -10.1 |
| 4 | -44.4 |
| 5 | -11.5 |
| 6 | -53.0 |